Entry 1:
# TiCo2Ge, relaxed, DFT PBE
data_TiCo2Ge
_symmetry_space_group_name_H-M 'P 4/m m m'
_symmetry_Int_Tables_number 123
_symmetry_space_group_name_Hall '-P 4 2'
_cell_length_a 3.856
_cell_length_b 3.856
_cell_length_c 3.362
_cell_angle_alpha 90.00
_cell_angle_beta 90.00
_cell_angle_gamma 90.00
loop_
_atom_site_label
_atom_site_fract_x
_atom_site_fract_y
_atom_site_fract_z
Ti1 0.000 0.000 0.000
Co1 0.000 0.500 0.500
Ge1 0.500 0.500 0.000
# Formation energy from the elements (kJ/mol of formula units): -153
# N(E_F) (states/eV per cell): 2.82


Entry 2:
# TiCo4Ge, relaxed, DFT PBE
data_TiCo4Ge
_symmetry_space_group_name_H-M 'F -4 3 m'
_symmetry_Int_Tables_number 216
_symmetry_space_group_name_Hall 'F -4 2 3'
_cell_length_a 6.631
_cell_length_b 6.631
_cell_length_c 6.631
_cell_angle_alpha 90.00
_cell_angle_beta 90.00
_cell_angle_gamma 90.00
loop_
_atom_site_label
_atom_site_fract_x
_atom_site_fract_y
_atom_site_fract_z
Ti1 0.000 0.000 0.000
Co1 0.125 0.125 0.375
Ge1 0.250 0.250 0.750
# Energy above the most stable polymorph in this dataset (kcal/mol of atoms): 1.59
# Formation energy from the elements (kJ/mol of formula units): -76
# N(E_F) (states/eV per cell): 34.18


Entry 3:
# Ti2CoGe, relaxed, DFT PBE
data_Ti2CoGe
_symmetry_space_group_name_H-M 'P 4/m m m'
_symmetry_Int_Tables_number 123
_symmetry_space_group_name_Hall '-P 4 2'
_cell_length_a 3.834
_cell_length_b 3.834
_cell_length_c 3.852
_cell_angle_alpha 90.00
_cell_angle_beta 90.00
_cell_angle_gamma 90.00
loop_
_atom_site_label
_atom_site_fract_x
_atom_site_fract_y
_atom_site_fract_z
Ti1 0.000 0.500 0.000
Co1 0.000 0.000 0.500
Ge1 0.500 0.500 0.500
# Formation energy from the elements (kJ/mol of formula units): -164
# N(E_F) (states/eV per cell): 4.56


Entry 4:
# Ti4CoGe, relaxed, DFT PBE
data_Ti4CoGe
_symmetry_space_group_name_H-M 'C 1 2/c 1'
_symmetry_Int_Tables_number 15
_cell_length_a 13.191
_cell_length_b 4.811
_cell_length_c 6.460
_cell_angle_alpha 90.00
_cell_angle_beta 104.63
_cell_angle_gamma 90.00
loop_
_symmetry_equiv_pos_as_xyz
'x,y,z'
'-x,-y,-z'
'-x,y,-z+1/2'
'x,-y,z+1/2'
'x+1/2,y+1/2,z'
'-x+1/2,-y+1/2,-z'
'-x+1/2,y+1/2,-z+1/2'
'x+1/2,-y+1/2,z+1/2'
loop_
_atom_site_label
_atom_site_fract_x
_atom_site_fract_y
_atom_site_fract_z
Ti1 0.075 0.132 0.441
Ti2 0.176 0.360 0.135
Co1 0.250 0.250 0.500
Ge1 0.000 0.373 0.750
# Formation energy from the elements (kJ/mol of formula units): -82
# N(E_F) (states/eV per cell): 32.56


Entry 5:
# Ti6CoGe, relaxed, DFT PBE
data_Ti6CoGe
_symmetry_space_group_name_H-M 'C 1 2/m 1'
_symmetry_Int_Tables_number 12
_cell_length_a 5.628
_cell_length_b 9.705
_cell_length_c 5.666
_cell_angle_alpha 90.00
_cell_angle_beta 119.33
_cell_angle_gamma 90.00
loop_
_symmetry_equiv_pos_as_xyz
'x,y,z'
'-x,-y,-z'
'-x,y,-z'
'x,-y,z'
'x+1/2,y+1/2,z'
'-x+1/2,-y+1/2,-z'
'-x+1/2,y+1/2,-z'
'x+1/2,-y+1/2,z'
loop_
_atom_site_label
_atom_site_fract_x
_atom_site_fract_y
_atom_site_fract_z
Ti1 0.240 0.213 0.243
Ti2 0.242 0.000 0.764
Co1 0.000 0.000 0.000
Ge1 0.000 0.500 0.500
# Formation energy from the elements (kJ/mol of formula units): 73
# N(E_F) (states/eV per cell): 23.54


Entry 6:
# TiCo4Ge, relaxed, DFT PBE
data_TiCo4Ge
_symmetry_space_group_name_H-M 'C m m m'
_symmetry_Int_Tables_number 65
_symmetry_space_group_name_Hall '-C 2 2'
_cell_length_a 4.057
_cell_length_b 8.762
_cell_length_c 4.056
_cell_angle_alpha 90.00
_cell_angle_beta 90.00
_cell_angle_gamma 90.00
loop_
_atom_site_label
_atom_site_fract_x
_atom_site_fract_y
_atom_site_fract_z
Ti1 0.000 0.000 0.000
Co1 0.000 0.168 0.500
Co2 0.000 0.335 0.000
Ge1 0.000 0.500 0.500
# Energy above the most stable polymorph in this dataset (kcal/mol of atoms): 0.00
# Formation energy from the elements (kJ/mol of formula units): -116
# N(E_F) (states/eV per cell): 15.05


Entry 7:
# Ti2CoGe, relaxed, DFT PBE
data_Ti2CoGe
_symmetry_space_group_name_H-M 'F -4 3 m'
_symmetry_Int_Tables_number 216
_symmetry_space_group_name_Hall 'F -4 2 3'
_cell_length_a 6.106
_cell_length_b 6.106
_cell_length_c 6.106
_cell_angle_alpha 90.00
_cell_angle_beta 90.00
_cell_angle_gamma 90.00
loop_
_atom_site_label
_atom_site_fract_x
_atom_site_fract_y
_atom_site_fract_z
Ti1 0.000 0.000 0.000
Ti2 0.250 0.250 0.250
Co1 0.250 0.250 0.750
Ge1 0.000 0.000 0.500
# Formation energy from the elements (kJ/mol of formula units): -106
# N(E_F) (states/eV per cell): 4.26


Entry 8:
# Ti2Co8Ge, relaxed, DFT PBE
data_Ti2Co8Ge
_symmetry_space_group_name_H-M 'C 1 2/m 1'
_symmetry_Int_Tables_number 12
_cell_length_a 12.875
_cell_length_b 3.641
_cell_length_c 5.742
_cell_angle_alpha 90.00
_cell_angle_beta 106.09
_cell_angle_gamma 90.00
loop_
_symmetry_equiv_pos_as_xyz
'x,y,z'
'-x,-y,-z'
'-x,y,-z'
'x,-y,z'
'x+1/2,y+1/2,z'
'-x+1/2,-y+1/2,-z'
'-x+1/2,y+1/2,-z'
'x+1/2,-y+1/2,z'
loop_
_atom_site_label
_atom_site_fract_x
_atom_site_fract_y
_atom_site_fract_z
Ti1 0.224 0.000 0.162
Co1 0.039 0.000 0.218
Co2 0.087 0.500 0.954
Co3 0.139 0.000 0.675
Co4 0.177 0.500 0.400
Ge1 0.000 0.500 0.500
# Formation energy from the elements (kJ/mol of formula units): -149
# N(E_F) (states/eV per cell): 26.01